Here is LaBi2Pd6 after structural relaxation from Alexandria via LeMat-Bulk. Energies are from GGA-PBE.

Cell and atoms, written as POSCAR:
```
LaBi2Pd6
1.0
5.659 0.000 0.000
-2.830 4.901 0.000
0.000 0.000 7.392
La Bi Pd
1 2 6
Direct
0.000 0.000 0.000
0.333 0.667 0.500
0.667 0.333 0.500
0.000 0.500 0.184
0.000 0.500 0.816
0.500 0.000 0.184
0.500 0.000 0.816
0.500 0.500 0.184
0.500 0.500 0.816
```

Values from the calculation:
**Formation enthalpy at 0 K**: -0.372 eV per atom